Record 1
A plane-wave DFT calculation with PBE was carried out for CdInSn after structural relaxation.

The formation energy comes out at 0.10 eV/atom. For the density of states at the Fermi level, the calculation gives 1.71 states/eV/f.u. As for the total magnetization: 0.000 μB/cell.

It has space group I4/mmm (No. 139), with a = 4.030 Å, b = 4.030 Å, c = 20.863 Å, α = 90.00°, β = 90.00° and γ = 90.00°. Symmetry generates all atoms from Cd at (0.000, 0.000, 0.222), In at (0.000, 0.000, 0.367) and Sn at (0.000, 0.000, 0.073).

=====

Record 2
A plane-wave DFT calculation with PBE was carried out for K4Pu3TiSe8 after structural relaxation.

For the density of states at the Fermi level, the calculation gives 33.51 states/eV/f.u. As for the total magnetization: 48.000 μB/cell. For the uncorrected formation energy, the calculation gives -1.38 eV per atom.

It has space group R-3m (No. 166, hexagonal axes), with a = 8.3361 Å, b = 8.3361 Å, c = 22.9605 Å, α = 90.00°, β = 90.00° and γ = 120.00°. Symmetry generates all atoms from K at (0.0000, 0.0000, 0.0000), K at (0.0000, 0.5000, 0.0000), Pu at (0.0000, 0.5000, 0.5000), Ti at (0.0000, 0.0000, 0.5000), Se at (0.0000, 0.0000, 0.2363) and Se at (0.0203, 0.5102, 0.2328).

=====

Record 3
A plane-wave DFT calculation with PBE was carried out for Pm5NdIn6 after structural relaxation.

The formation energy comes out at -0.50 eV/atom. For the density of states at the Fermi level, the calculation gives 5.92 states/eV/f.u. As for the total magnetization: 0.000 μB/cell.

It has space group Cmmm (No. 65), with a = 5.453 Å, b = 16.359 Å, c = 7.700 Å, α = 90.00°, β = 90.00° and γ = 90.00°. Symmetry generates all atoms from Pm at (0.000, 0.000, 0.000), Pm at (0.000, 0.333, 0.500), Pm at (0.000, 0.334, 0.000), Nd at (0.000, 0.000, 0.500), In at (0.000, 0.167, 0.249) and In at (0.000, 0.500, 0.249).

=====

Record 4
A plane-wave DFT calculation with PBE was carried out for ScGa2I after structural relaxation.

For the density of states at the Fermi level, the calculation gives 4.31 states/eV/f.u. As for the total magnetization: 0.000 μB/cell. For the uncorrected formation energy, the calculation gives 0.04 eV per atom.

It has space group I-42d (No. 122), with a = 8.272 Å, b = 8.272 Å, c = 5.851 Å, α = 90.00°, β = 90.00° and γ = 90.00°. Symmetry generates all atoms from Sc at (0.000, 0.000, 0.000), Ga at (0.222, 0.250, 0.125) and I at (0.000, 0.000, 0.500).